No. 1
Ac2MgMn: optimized geometry, PBE.

Cell: 3.969 3.969 8.169 Å, 90.00 90.00 90.00°
Space group P4/mmm (No. 123)
Unique sites:
Ac 0.000 0.000 0.231 x2
Mg 0.500 0.500 0.500 x1
Mn 0.500 0.500 0.000 x1

Computed properties:
* formation energy from the elements: 155 meV per atom

***

No. 2
Sc2PaIn: optimized geometry, PBE.

Cell: 4.693 4.693 4.293 Å, 90.00 90.00 90.00°
Space group P4/mmm (No. 123)
Unique sites:
Sc 0.000 0.500 0.000 x2
Pa 0.000 0.000 0.500 x1
In 0.500 0.500 0.500 x1

Computed properties:
* E above lowest polymorph: 104 meV per atom
* formation energy from the elements: -72 meV per atom

***

No. 3
K4Nb3CdO12: optimized geometry, PBE.

Cell: 8.292 8.292 8.292 Å, 90.00 90.00 90.00°
Space group Im-3m (No. 229)
Unique sites:
K 0.250 0.250 0.250 x8
Nb 0.000 0.000 0.500 x6
Cd 0.000 0.000 0.000 x2
O 0.000 0.000 0.268 x12
O 0.000 0.250 0.500 x12

Computed properties:
* ΔE_f (raw): -1.923 eV/atom

***

No. 4
LiHoLuCr: optimized geometry, PBE.

Cell: 7.085 7.085 7.085 Å, 90.00 90.00 90.00°
Space group F-43m (No. 216)
Unique sites:
Li 0.000 0.000 0.000 x4
Ho 0.250 0.250 0.750 x4
Lu 0.250 0.250 0.250 x4
Cr 0.000 0.000 0.500 x4

Computed properties:
* formation energy from the elements: 161 meV per atom

***

No. 5
ReBiCl2: optimized geometry, PBE.

Cell: 8.534 8.534 5.334 Å, 90.00 90.00 90.00°
Space group I-42d (No. 122)
Unique sites:
Re 0.000 0.000 0.000 x4
Bi 0.000 0.000 0.500 x4
Cl 0.123 0.250 0.125 x8

Computed properties:
* ΔE_f (raw): 0.372 eV/atom
* E above lowest polymorph: 102 meV per atom

***

No. 6
KAlS2: optimized geometry, PBE.

Cell: 10.936 6.608 8.861 Å, 90.00 126.32 90.00°
Space group C2 (No. 5)
Unique sites:
K 0.149 0.000 0.309 x4
Al 0.137 0.467 0.000 x4
S 0.115 0.516 0.239 x4
S 0.184 0.130 0.999 x4

Computed properties:
* ΔE_f (raw): -1.261 eV/atom

***

No. 7
Pr4Th3Bi8: optimized geometry, PBE.

Cell: 12.973 13.012 9.193 Å, 90.00 134.81 90.00°
Space group C2/m (No. 12)
Unique sites:
Pr 0.000 0.000 0.000 x2
Pr 0.000 0.000 0.500 x2
Pr 0.250 0.250 0.000 x4
Th 0.000 0.500 0.000 x2
Th 0.250 0.250 0.500 x4
Bi 0.000 0.250 0.000 x4
Bi 0.000 0.258 0.500 x4
Bi 0.239 0.500 0.497 x4
Bi 0.241 0.500 0.987 x4

Computed properties:
* formation energy from the elements: -684 meV per atom

***

No. 8
AcNbRh2: optimized geometry, PBE.

Cell: 4.3616 4.3616 16.6474 Å, 90.00 90.00 120.00°
Space group R-3m (No. 166, hexagonal axes)
Unique sites:
Ac 0.0000 0.0000 0.0000 x3
Nb 0.0000 0.0000 0.5000 x3
Rh 0.0000 0.0000 0.2109 x6

Computed properties:
* E above lowest polymorph: 0 meV per atom
* formation energy from the elements: -393 meV per atom

***

No. 9
TmSiO3: optimized geometry, PBE.

Cell: 3.497 6.614 4.886 Å, 90.00 92.69 90.00°
Space group P2_1/m (No. 11)
Unique sites:
Tm 0.179 0.250 0.493 x2
Si 0.500 0.000 0.000 x2
O 0.240 0.549 0.278 x4
O 0.360 0.750 0.836 x2

Computed properties:
* ΔE_f (raw): -2.491 eV/atom

***

No. 10
Pu2MnAl: optimized geometry, PBE.

Cell: 6.965 6.965 6.965 Å, 90.00 90.00 90.00°
Space group Fm-3m (No. 225)
Unique sites:
Pu 0.250 0.250 0.250 x8
Mn 0.000 0.000 0.000 x4
Al 0.000 0.000 0.500 x4

Computed properties:
* E above lowest polymorph: 82 meV per atom
* formation energy from the elements: 60 meV per atom

***

No. 11
InB: optimized geometry, PBE.

Cell: 5.642 6.611 7.642 Å, 90.00 90.00 90.00°
Space group P2_12_12_1 (No. 19)
Unique sites:
In 0.205 0.107 0.456 x4
In 0.228 0.637 0.331 x4
B 0.138 0.828 0.637 x4
B 0.149 0.315 0.203 x4

Computed properties:
* E above lowest polymorph: 434 meV per atom
* formation energy from the elements: 797 meV per atom

***

No. 12
MgCdSb2O: optimized geometry, PBE.

Cell: 5.742 5.742 3.966 Å, 90.00 90.00 90.00°
Space group P4/mmm (No. 123)
Unique sites:
Mg 0.000 0.000 0.000 x1
Cd 0.500 0.500 0.500 x1
Sb 0.000 0.500 0.500 x2
O 0.500 0.500 0.000 x1

Computed properties:
* ΔE_f (raw): 0.268 eV/atom

***

No. 13
PmScTe: optimized geometry, PBE.

Cell: 4.9815 4.9815 3.9234 Å, 90.00 90.00 120.00°
Space group P-6m2 (No. 187)
Unique sites:
Pm 0.0000 0.0000 0.0000 x1
Sc 0.3333 0.6667 0.5000 x1
Te 0.6667 0.3333 0.5000 x1

Computed properties:
* ΔE_f (raw): -0.541 eV/atom
* E above lowest polymorph: 389 meV per atom

***

No. 14
MnCuP2: optimized geometry, PBE.

Cell: 2.690 3.393 11.437 Å, 90.00 90.00 90.00°
Space group Imm2 (No. 44)
Unique sites:
Mn 0.000 0.000 0.000 x2
Cu 0.000 0.500 0.277 x2
P 0.000 0.000 0.433 x2
P 0.000 0.500 0.661 x2

Computed properties:
* formation energy from the elements: -95 meV per atom

***

No. 15
LiFe2Co: optimized geometry, PBE.

Cell: 2.748 4.086 8.243 Å, 90.00 90.00 90.00°
Space group Immm (No. 71)
Unique sites:
Li 0.000 0.000 0.000 x2
Fe 0.000 0.500 0.238 x4
Co 0.000 0.000 0.500 x2

Computed properties:
* E above lowest polymorph: 63 meV per atom
* formation energy from the elements: 172 meV per atom

***

No. 16
CuRuBr: optimized geometry, PBE.

Cell: 2.951 5.387 12.845 Å, 90.00 90.00 90.00°
Space group Fmm2 (No. 42)
Unique sites:
Cu 0.000 0.000 0.000 x4
Ru 0.000 0.000 0.342 x4
Br 0.000 0.000 0.680 x4

Computed properties:
* ΔE_f (raw): 0.788 eV/atom
* E above lowest polymorph: 141 meV per atom

***

No. 17
Tb2Ga4Pd3Au: optimized geometry, PBE.

Cell: 4.189 4.189 10.874 Å, 90.00 90.00 90.00°
Space group P-4m2 (No. 115)
Unique sites:
Tb 0.000 0.500 0.241 x2
Ga 0.000 0.000 0.000 x1
Ga 0.000 0.500 0.639 x2
Ga 0.500 0.500 0.000 x1
Pd 0.000 0.500 0.865 x2
Pd 0.500 0.500 0.500 x1
Au 0.000 0.000 0.500 x1

Computed properties:
* formation energy from the elements: -744 meV per atom

***

No. 18
MgAg2Ir: optimized geometry, PBE.

Cell: 2.8905 2.8905 27.7387 Å, 90.00 90.00 120.00°
Space group R3m (No. 160, hexagonal axes)
Unique sites:
Mg 0.0000 0.0000 0.0000 x3
Ag 0.0000 0.0000 0.2487 x3
Ag 0.0000 0.0000 0.4950 x3
Ir 0.0000 0.0000 0.7429 x3

Computed properties:
* formation energy from the elements: 44 meV per atom

***

No. 19
BaLa2Y: optimized geometry, PBE.

Cell: 5.361 5.361 5.457 Å, 90.00 90.00 90.00°
Space group P4/mmm (No. 123)
Unique sites:
Ba 0.000 0.000 0.000 x1
La 0.000 0.500 0.500 x2
Y 0.500 0.500 0.000 x1

Computed properties:
* E above lowest polymorph: 81 meV per atom
* formation energy from the elements: 188 meV per atom

***

No. 20
RbGaAgSb2: optimized geometry, PBE.

Cell: 5.109 5.109 11.415 Å, 90.00 90.00 90.00°
Space group I-4m2 (No. 119)
Unique sites:
Rb 0.000 0.000 0.000 x2
Ga 0.000 0.500 0.250 x2
Ag 0.000 0.500 0.750 x2
Sb 0.000 0.000 0.369 x4

Computed properties:
* ΔE_f (raw): -0.170 eV/atom
* E above lowest polymorph: 0 meV per atom

***

no.,total magnetization (μB/cell)
1,3.354
2,0.000
3,5.297
4,12.990
5,0.000
6,0.000
7,0.000
8,0.000
9,0.000
10,31.560
11,0.000
12,0.000
13,1.295
14,0.000
15,12.575
16,1.286
17,0.000
18,0.003
19,0.000
20,0.000